Here is a crystal of ScAs5 relaxed with PBEsol from Alexandria via LeMat-Bulk. Energies are from meta-GGA SCAN.

Unit cell a=5.402 b=5.402 c=4.795 alpha=90.00 beta=90.00 gamma=120.00
Atoms (fractional coordinates):
Sc  0.000  0.000  0.000
As  0.000  0.500  0.500
As  0.333  0.667  0.000
As  0.500  0.000  0.500
As  0.500  0.500  0.500
As  0.667  0.333  0.000

Computed properties:
Space group: P6/mmm
Formation enthalpy at 0 K: 0.17 eV per atom

Here is a crystal of SrZn2Ni relaxed with PBEsol from Alexandria via LeMat-Bulk. Energies are from meta-GGA SCAN.

Unit cell a=3.203 b=3.372 c=6.824 alpha=90.00 beta=90.00 gamma=90.00
Atoms (fractional coordinates):
Sr  0.000  0.000  0.000
Zn  0.000  0.000  0.553
Zn  0.500  0.500  0.338
Ni  0.500  0.500  0.689

Computed properties:
Space group: Pmm2
Formation enthalpy at 0 K: 0.05 eV per atom

Here is a crystal of Mg2FeSe relaxed with PBEsol from Alexandria via LeMat-Bulk. Energies are from meta-GGA SCAN.

Unit cell a=5.351 b=5.351 c=5.351 alpha=137.74 beta=137.74 gamma=61.30
Atoms (fractional coordinates):
Mg  0.000  0.000  0.000
Mg  0.750  0.250  0.500
Fe  0.250  0.750  0.500
Se  0.500  0.500  0.000

Computed properties:
Formation energy without anion corrections: -0.03 eV/atom
Space group: I-4m2

Here is a crystal of Mn5Co relaxed with PBEsol from Alexandria via LeMat-Bulk. Energies are from meta-GGA SCAN.

Unit cell a=3.913 b=6.516 c=6.516 alpha=21.58 beta=90.00 gamma=90.00
Atoms (fractional coordinates):
Mn  0.000  0.000  0.000
Mn  0.000  0.331  0.331
Mn  0.500  0.223  0.223
Mn  0.500  0.556  0.556
Mn  0.500  0.891  0.891
Co  0.000  0.668  0.668

Computed properties:
Polymorph energy (0 for the lowest one): 109 kJ/mol of formula units
Space group: Amm2
Formation enthalpy at 0 K: 0.22 eV per atom

Here is a crystal of AlOs3Au relaxed with PBEsol from Alexandria via LeMat-Bulk. Energies are from meta-GGA SCAN.

Unit cell a=4.762 b=4.762 c=4.762 alpha=90.00 beta=90.00 gamma=90.00
Atoms (fractional coordinates):
Al  0.000  0.000  0.000
Os  0.000  0.500  0.500
Os  0.500  0.000  0.500
Os  0.500  0.500  0.000
Au  0.500  0.500  0.500

Computed properties:
Space group: Pm-3m
Formation enthalpy at 0 K: 2.91 eV per atom

Here is a crystal of TlAsSe2 relaxed with PBEsol from Alexandria via LeMat-Bulk. Energies are from meta-GGA SCAN.

Unit cell a=3.453 b=3.453 c=7.453 alpha=90.00 beta=90.00 gamma=90.00
Atoms (fractional coordinates):
Tl  0.000  0.000  0.000
As  0.000  0.000  0.500
Se  0.500  0.500  0.291
Se  0.500  0.500  0.709

Computed properties:
Formation energy without anion corrections: 0.17 eV/atom
Space group: P4/mmm

Here is a crystal of NiSbP2 relaxed with PBEsol from Alexandria via LeMat-Bulk. Energies are from meta-GGA SCAN.

Unit cell a=4.217 b=3.573 c=4.556 alpha=90.00 beta=106.99 gamma=90.00
Atoms (fractional coordinates):
Ni  0.000  0.000  0.000
Sb  0.500  0.000  0.500
P  0.244  0.500  0.843
P  0.756  0.500  0.157

Computed properties:
Formation energy without anion corrections: -0.06 eV/atom
Space group: P2/m

Here is a crystal of NaLiGe4O9 relaxed with PBEsol from Alexandria via LeMat-Bulk. Energies are from meta-GGA SCAN.

Unit cell a=15.923 b=4.696 c=9.344 alpha=90.00 beta=90.00 gamma=90.00
Atoms (fractional coordinates):
Na  0.047  0.025  0.000
Na  0.453  0.025  0.500
Na  0.547  0.975  0.000
Na  0.953  0.975  0.500
Li  0.236  0.960  0.786
Li  0.264  0.960  0.286
Li  0.736  0.040  0.786
Li  0.764  0.040  0.286
Ge  0.095  0.492  0.311
Ge  0.098  0.511  0.728
Ge  0.154  0.998  0.520
Ge  0.208  0.500  0.021
Ge  0.292  0.500  0.521
Ge  0.346  0.998  0.020
Ge  0.402  0.511  0.228
Ge  0.405  0.492  0.811
Ge  0.595  0.508  0.311
Ge  0.598  0.489  0.728
Ge  0.654  0.002  0.520
Ge  0.708  0.500  0.021
Ge  0.792  0.500  0.521
Ge  0.846  0.002  0.020
Ge  0.902  0.489  0.228
Ge  0.905  0.508  0.811
O  0.004  0.340  0.782
O  0.070  0.773  0.605
O  0.071  0.223  0.434
O  0.131  0.352  0.142
O  0.144  0.674  0.886
O  0.164  0.226  0.684
O  0.164  0.764  0.357
O  0.237  0.764  0.610
O  0.241  0.221  0.435
O  0.259  0.221  0.935
O  0.263  0.764  0.110
O  0.336  0.226  0.184
O  0.336  0.764  0.857
O  0.356  0.674  0.386
O  0.369  0.352  0.642
O  0.429  0.223  0.934
O  0.430  0.773  0.105
O  0.496  0.340  0.282
O  0.504  0.660  0.782
O  0.570  0.227  0.605
O  0.571  0.777  0.434
O  0.631  0.648  0.142
O  0.644  0.326  0.886
O  0.664  0.236  0.357
O  0.664  0.774  0.684
O  0.737  0.236  0.610
O  0.741  0.779  0.435
O  0.759  0.779  0.935
O  0.763  0.236  0.110
O  0.836  0.236  0.857
O  0.836  0.774  0.184
O  0.856  0.326  0.386
O  0.869  0.648  0.642
O  0.929  0.777  0.934
O  0.930  0.227  0.105
O  0.996  0.660  0.282

Computed properties:
Formation energy without anion corrections: -1.92 eV/atom
Space group: Pca2_1

Here is a crystal of SrCaLa relaxed with PBEsol from Alexandria via LeMat-Bulk. Energies are from meta-GGA SCAN.

Unit cell a=8.801 b=8.801 c=8.801 alpha=154.79 beta=154.79 gamma=35.95
Atoms (fractional coordinates):
Sr  0.000  0.000  0.000
Ca  0.680  0.680  0.000
La  0.333  0.333  0.000

Computed properties:
Polymorph energy (0 for the lowest one): 0 kJ/mol of formula units
Space group: I4mm
Formation enthalpy at 0 K: 0.13 eV per atom

Here is a crystal of ReSi2Au relaxed with PBEsol from Alexandria via LeMat-Bulk. Energies are from meta-GGA SCAN.

Unit cell a=4.559 b=4.559 c=4.559 alpha=128.37 beta=128.37 gamma=76.03
Atoms (fractional coordinates):
Re  0.000  0.000  0.000
Si  0.250  0.750  0.500
Si  0.750  0.250  0.500
Au  0.500  0.500  0.000

Computed properties:
Formation energy without anion corrections: 0.24 eV/atom
Polymorph energy (0 for the lowest one): 80 kJ/mol of formula units
Space group: I4/mmm

Here is a crystal of CaLa2SbF relaxed with PBEsol from Alexandria via LeMat-Bulk. Energies are from meta-GGA SCAN.

Unit cell a=5.942 b=5.942 c=4.140 alpha=90.00 beta=90.00 gamma=90.00
Atoms (fractional coordinates):
Ca  0.000  0.000  0.000
La  0.000  0.500  0.000
La  0.500  0.000  0.000
Sb  0.500  0.500  0.500
F  0.000  0.000  0.500

Computed properties:
Formation energy without anion corrections: -0.82 eV/atom
Space group: P4/mmm

Here is a crystal of SrAu2S4O16 relaxed with PBEsol from Alexandria via LeMat-Bulk. Energies are from meta-GGA SCAN.

Unit cell a=9.279 b=9.279 c=10.618 alpha=103.23 beta=103.23 gamma=116.42
Atoms (fractional coordinates):
Sr  0.128  0.872  0.750
Sr  0.872  0.128  0.250
Au  0.000  0.500  0.000
Au  0.500  0.000  0.500
Au  0.500  0.500  0.000
Au  0.500  0.500  0.500
S  0.149  0.263  0.008
S  0.242  0.630  0.472
S  0.263  0.149  0.508
S  0.370  0.758  0.028
S  0.630  0.242  0.972
S  0.737  0.851  0.492
S  0.758  0.370  0.528
S  0.851  0.737  0.992
O  0.055  0.325  0.915
O  0.072  0.219  0.107
O  0.112  0.464  0.362
O  0.129  0.150  0.408
O  0.150  0.129  0.908
O  0.186  0.712  0.567
O  0.219  0.072  0.607
O  0.253  0.676  0.104
O  0.288  0.814  0.933
O  0.324  0.747  0.396
O  0.325  0.055  0.415
O  0.337  0.414  0.097
O  0.383  0.617  0.571
O  0.383  0.617  0.929
O  0.414  0.337  0.597
O  0.464  0.112  0.862
O  0.536  0.888  0.138
O  0.586  0.663  0.403
O  0.617  0.383  0.071
O  0.617  0.383  0.429
O  0.663  0.586  0.903
O  0.675  0.945  0.585
O  0.676  0.253  0.604
O  0.712  0.186  0.067
O  0.747  0.324  0.896
O  0.781  0.928  0.393
O  0.814  0.288  0.433
O  0.850  0.871  0.092
O  0.871  0.850  0.592
O  0.888  0.536  0.638
O  0.928  0.781  0.893
O  0.945  0.675  0.085

Computed properties:
Formation energy without anion corrections: -1.46 eV/atom
Space group: C2/c

Here is a crystal of YOsI2O relaxed with PBEsol from Alexandria via LeMat-Bulk. Energies are from meta-GGA SCAN.

Unit cell a=5.976 b=5.976 c=4.046 alpha=90.00 beta=90.00 gamma=90.00
Atoms (fractional coordinates):
Y  0.000  0.000  0.000
Os  0.500  0.500  0.500
I  0.000  0.500  0.000
I  0.500  0.000  0.000
O  0.000  0.000  0.500

Computed properties:
Formation energy without anion corrections: -0.05 eV/atom
Space group: P4/mmm

Here is a crystal of BaSrIn2 relaxed with PBEsol from Alexandria via LeMat-Bulk. Energies are from meta-GGA SCAN.

Unit cell a=6.824 b=6.824 c=6.824 alpha=145.46 beta=130.54 gamma=61.73
Atoms (fractional coordinates):
Ba  0.000  0.000  0.000
Sr  0.700  0.200  0.500
In  0.258  0.758  0.500
In  0.439  0.439  0.000

Computed properties:
Space group: Imm2
Formation enthalpy at 0 K: -0.49 eV per atom

Here is a crystal of MgZn3 relaxed with PBEsol from Alexandria via LeMat-Bulk. Energies are from meta-GGA SCAN.

Unit cell a=4.872 b=4.872 c=4.872 alpha=132.13 beta=132.13 gamma=70.02
Atoms (fractional coordinates):
Mg  0.000  0.000  0.000
Zn  0.250  0.750  0.500
Zn  0.500  0.500  0.000
Zn  0.750  0.250  0.500

Computed properties:
Space group: I4/mmm
Formation enthalpy at 0 K: -0.05 eV per atom

Here is a crystal of AgP3Ir relaxed with PBEsol from Alexandria via LeMat-Bulk. Energies are from meta-GGA SCAN.

Unit cell a=4.565 b=4.565 c=4.565 alpha=90.00 beta=90.00 gamma=90.00
Atoms (fractional coordinates):
Ag  0.000  0.000  0.000
P  0.000  0.000  0.500
P  0.000  0.500  0.000
P  0.500  0.000  0.000
Ir  0.500  0.500  0.500

Computed properties:
Space group: Pm-3m
Formation enthalpy at 0 K: 1.90 eV per atom

Here is a crystal of SrCaZnSi2O7 relaxed with PBEsol from Alexandria via LeMat-Bulk. Energies are from meta-GGA SCAN.

Unit cell a=5.067 b=7.935 c=7.884 alpha=90.00 beta=90.86 gamma=90.00
Atoms (fractional coordinates):
Sr  0.010  0.000  0.088
Sr  0.990  0.500  0.912
Ca  0.003  0.157  0.586
Ca  0.997  0.657  0.414
Zn  0.496  0.832  0.749
Zn  0.504  0.332  0.251
Si  0.436  0.476  0.600
Si  0.447  0.195  0.880
Si  0.553  0.695  0.120
Si  0.564  0.976  0.400
O  0.236  0.696  0.122
O  0.247  0.982  0.399
O  0.278  0.419  0.426
O  0.282  0.648  0.661
O  0.289  0.023  0.822
O  0.305  0.255  0.055
O  0.326  0.332  0.737
O  0.674  0.832  0.263
O  0.695  0.755  0.945
O  0.711  0.523  0.178
O  0.718  0.148  0.339
O  0.722  0.919  0.574
O  0.753  0.482  0.601
O  0.764  0.196  0.878

Computed properties:
Formation energy without anion corrections: -3.02 eV/atom
Space group: P2_1

Here is a crystal of BeSiB2 relaxed with PBEsol from Alexandria via LeMat-Bulk. Energies are from meta-GGA SCAN.

Unit cell a=3.630 b=3.630 c=3.630 alpha=60.00 beta=60.00 gamma=60.00
Atoms (fractional coordinates):
Be  0.000  0.000  0.000
Si  0.500  0.500  0.500
B  0.250  0.250  0.250
B  0.750  0.750  0.750

Computed properties:
Formation energy without anion corrections: 1.10 eV/atom
Space group: Fm-3m

Here is a crystal of Co2AgIr relaxed with PBEsol from Alexandria via LeMat-Bulk. Energies are from meta-GGA SCAN.

Unit cell a=2.646 b=3.604 c=5.458 alpha=90.00 beta=90.00 gamma=90.00
Atoms (fractional coordinates):
Co  0.000  0.000  0.221
Co  0.000  0.000  0.779
Ag  0.500  0.500  0.500
Ir  0.500  0.500  0.000

Computed properties:
Space group: Pmmm
Formation enthalpy at 0 K: 0.25 eV per atom

Here is a crystal of HgIr2OsPd relaxed with PBEsol from Alexandria via LeMat-Bulk. Energies are from meta-GGA SCAN.

Unit cell a=4.651 b=4.651 c=4.776 alpha=90.00 beta=90.00 gamma=90.00
Atoms (fractional coordinates):
Hg  0.000  0.000  0.000
Ir  0.000  0.500  0.500
Ir  0.500  0.000  0.500
Os  0.500  0.500  0.000
Pd  0.000  0.000  0.500

Computed properties:
Space group: P4/mmm
Formation enthalpy at 0 K: 2.55 eV per atom

Here is a crystal of K2NaNbNi relaxed with PBEsol from Alexandria via LeMat-Bulk. Energies are from meta-GGA SCAN.

Unit cell a=5.767 b=5.767 c=4.873 alpha=90.00 beta=90.00 gamma=90.00
Atoms (fractional coordinates):
K  0.000  0.500  0.000
K  0.500  0.000  0.000
Na  0.000  0.000  0.000
Nb  0.500  0.500  0.500
Ni  0.000  0.000  0.500

Computed properties:
Space group: P4/mmm
Formation enthalpy at 0 K: 1.48 eV per atom

Here is a crystal of K2CaSnCl relaxed with PBEsol from Alexandria via LeMat-Bulk. Energies are from meta-GGA SCAN.

Unit cell a=5.620 b=5.620 c=6.002 alpha=90.00 beta=90.00 gamma=90.00
Atoms (fractional coordinates):
K  0.000  0.500  0.000
K  0.500  0.000  0.000
Ca  0.000  0.000  0.500
Sn  0.500  0.500  0.500
Cl  0.500  0.500  0.000

Computed properties:
Formation energy without anion corrections: -0.48 eV/atom
Space group: P4/mmm

Here is a crystal of Zr4SbRu relaxed with PBEsol from Alexandria via LeMat-Bulk. Energies are from meta-GGA SCAN.

Unit cell a=5.520 b=5.520 c=5.520 alpha=60.00 beta=60.00 gamma=60.00
Atoms (fractional coordinates):
Zr  0.376  0.376  0.376
Zr  0.376  0.376  0.873
Zr  0.376  0.873  0.376
Zr  0.873  0.376  0.376
Sb  0.000  0.000  0.000
Ru  0.750  0.750  0.750

Computed properties:
Formation energy without anion corrections: 0.29 eV/atom
Space group: F-43m